No. 1
A plane-wave DFT calculation with PBEsol was carried out for a relaxed structure of Sr2Hg2Se.

```
Sr2Hg2Se
1.0
6.024 0.000 0.000
-3.012 5.457 0.025
0.000 3.301 5.038
Sr Se Hg
2 1 2
Direct
0.250 0.500 0.250
0.750 0.500 0.750
0.000 0.000 0.000
0.651 0.303 0.349
0.349 0.697 0.651
```

Summary:
Total magnetization in μB per formula unit: 0.00
Raw formation energy in eV per atom: -0.469
SG: I4/mmm, No. 139

***

No. 2
A plane-wave DFT calculation with PBEsol was carried out for a relaxed structure of RbInI2O.

```
RbInI2O
1.0
4.915 0.000 0.000
0.000 6.614 0.000
0.000 0.000 6.614
I O Rb In
2 1 1 1
Direct
0.000 0.000 0.500
0.000 0.500 0.000
0.500 0.000 0.000
0.000 0.000 0.000
0.500 0.500 0.500
```

Summary:
Total magnetization in μB per formula unit: 2.08
Raw formation energy in eV per atom: 0.080
SG: P4/mmm, No. 123

***

No. 3
A plane-wave DFT calculation with PBEsol was carried out for a relaxed structure of CaNiAsSe2.

```
CaNiAsSe2
1.0
-1.441 3.925 0.975
-2.112 -1.802 4.128
4.183 0.906 2.536
Ca Se As Ni
1 2 1 1
Direct
0.500 0.500 0.500
0.000 0.000 0.500
0.000 0.500 0.000
0.500 0.000 0.000
0.000 0.000 0.000
```

Summary:
Total magnetization in μB per formula unit: 0.00
Raw formation energy in eV per atom: -0.503
SG: P4/mmm, No. 123

***

No. 4
A plane-wave DFT calculation with PBEsol was carried out for a relaxed structure of InOs2Pb.

```
InOs2Pb
1.0
-0.346 1.804 -2.369
-4.799 -0.780 2.004
2.600 3.754 2.479
In Os Pb
1 2 1
Direct
0.273 0.546 0.818
0.721 0.441 0.310
0.028 0.056 0.935
0.479 0.957 0.436
```

Summary:
Total magnetization in μB per formula unit: 0.00
Energy above the most stable polymorph in this dataset in meV per atom: 0
SG: Cm, No. 8
ΔE_f in eV/atom: 0.69

***

- Which of these has the highest total magnetization?
  RbInI2O

***

- Which formula does entry 4 have?
  InOs2Pb